Compound: Zr2AsPt2
Source: the Alexandria database
Functional: PBE-GGA
Structure: relaxed

abc: 6.1379 6.1379 6.1379
angles: 135.64 135.64 64.54
With the nearest neighbours (Å) after each atom.
Positions (direct):
Zr1 0.7500 0.2500 0.5000  4 Pt 2.67
Zr2 0.2500 0.7500 0.5000  4 Pt 2.67
As1 0.0000 0.0000 0.0000  8 Zr 3.48, 8 Pt 3.52
Pt1 0.3770 0.3770 0.0000  1 Pt 2.55, 4 Zr 2.67
Pt2 0.6230 0.6230 0.0000  1 Pt 2.55, 4 Zr 2.67

Summary:
The calculation puts the formation energy from the elements at -0.52 eV per atom. For the uncorrected energy, the calculation gives -36.43 eV/cell. Its symmetry is I4/mmm, No. 139. The value obtained for the distance to the lowest polymorph of the same formula is 0.3027 eV per atom.